A relaxed structure of AcPm2SmY2, computed with PBE.

Values from the calculation:
N(E_F): 11.06 states/eV/f.u.
Formation energy: 0.295 eV per atom

Unit cell a=3.530 b=6.557 c=18.836 alpha=90.00 beta=90.00 gamma=90.00
Positions (direct):
Ac 0.500 0.500 0.500
Y 0.500 0.183 0.646
Pm 0.500 0.314 0.305
Sm 0.500 0.500 0.000
Ac 0.000 0.000 0.000
Y 0.000 0.683 0.854
Y 0.500 0.817 0.354
Pm 0.000 0.186 0.805
Pm 0.000 0.814 0.195
Sm 0.000 0.000 0.500
Y 0.000 0.317 0.146
Pm 0.500 0.686 0.695

***

A relaxed structure of AcPmSm2Y6, computed with PBE.

Values from the calculation:
N(E_F): 16.43 states/eV/f.u.
Formation energy: 0.126 eV per atom

Unit cell a=9.712 b=8.997 c=8.997 alpha=117.97 beta=93.20 gamma=93.20
Positions (direct):
Y 0.942 0.873 0.253
Y 0.885 0.291 0.507
Sm 0.049 0.308 0.195
Y 0.115 0.709 0.493
Y 0.319 0.979 0.438
Ac 0.250 0.972 0.028
Y 0.385 0.507 0.291
Y 0.442 0.253 0.873
Y 0.819 0.438 0.979
Y 0.681 0.021 0.562
Ac 0.750 0.028 0.972
Pm 0.250 0.410 0.590
Sm 0.549 0.195 0.308
Pm 0.750 0.590 0.410
Y 0.558 0.747 0.127
Sm 0.451 0.805 0.692
Y 0.615 0.493 0.709
Y 0.058 0.127 0.747
Y 0.181 0.562 0.021
Sm 0.951 0.692 0.805

***

A relaxed structure of AcPm3SmY, computed with PBE.

Values from the calculation:
N(E_F): 9.92 states/eV/f.u.
Formation energy: 0.034 eV per atom

Unit cell a=5.228 b=8.267 c=11.048 alpha=116.48 beta=90.00 gamma=90.00
Positions (direct):
Pm 0.750 0.376 0.546
Pm 0.250 0.621 0.793
Pm 0.250 0.624 0.454
Pm 0.250 0.132 0.960
Ac 0.250 0.124 0.292
Ac 0.750 0.876 0.708
Sm 0.250 0.619 0.124
Y 0.250 0.130 0.627
Sm 0.750 0.381 0.876
Y 0.750 0.870 0.373
Pm 0.750 0.379 0.207
Pm 0.750 0.868 0.040

***

A relaxed structure of AcPmSm2Y, computed with PBE.

Values from the calculation:
N(E_F): 8.56 states/eV/f.u.
Formation energy: 0.040 eV per atom

Unit cell a=5.932 b=6.479 c=9.921 alpha=70.80 beta=90.00 gamma=90.00
Positions (direct):
Pm 0.750 0.360 0.599
Y 0.750 0.163 0.001
Sm 0.250 0.039 0.596
Ac 0.750 0.567 0.200
Sm 0.250 0.227 0.202
Y 0.250 0.837 0.999
Sm 0.750 0.773 0.798
Sm 0.750 0.961 0.404
Pm 0.250 0.640 0.401
Ac 0.250 0.433 0.800

***

A relaxed structure of AcPm6Sm2Y, computed with PBE.

Values from the calculation:
N(E_F): 14.32 states/eV/f.u.
Formation energy: 0.115 eV per atom

Unit cell a=9.833 b=9.093 c=9.093 alpha=118.29 beta=93.23 gamma=93.23
Positions (direct):
Pm 0.381 0.503 0.290
Pm 0.685 0.017 0.561
Y 0.250 0.410 0.590
Pm 0.185 0.561 0.017
Sm 0.045 0.313 0.201
Pm 0.619 0.497 0.710
Pm 0.945 0.872 0.251
Y 0.750 0.590 0.410
Sm 0.955 0.687 0.799
Pm 0.815 0.439 0.983
Pm 0.055 0.128 0.749
Ac 0.750 0.024 0.976
Pm 0.555 0.749 0.128
Ac 0.250 0.976 0.024
Pm 0.445 0.251 0.872
Pm 0.315 0.983 0.439
Pm 0.881 0.290 0.503
Sm 0.545 0.201 0.313
Pm 0.119 0.710 0.497
Sm 0.455 0.799 0.687

***

A relaxed structure of Ac2PmSmY5, computed with PBE.

Values from the calculation:
N(E_F): 13.49 states/eV/f.u.
Formation energy: 0.150 eV per atom

Unit cell a=5.836 b=10.521 c=11.023 alpha=90.00 beta=90.00 gamma=106.10
Positions (direct):
Sm 0.583 0.167 0.961
Ac 0.889 0.778 0.232
Ac 0.117 0.235 0.323
Y 0.479 0.957 0.738
Y 0.714 0.428 0.804
Y 0.395 0.790 0.024
Pm 0.794 0.588 0.510
Sm 0.417 0.833 0.461
Ac 0.883 0.765 0.823
Y 0.605 0.210 0.524
Y 0.298 0.595 0.704
Y 0.521 0.043 0.238
Y 0.286 0.572 0.304
Y 0.020 0.040 0.028
Y 0.980 0.960 0.528
Y 0.702 0.405 0.204
Ac 0.111 0.222 0.732
Pm 0.206 0.412 0.010

***

A relaxed structure of AcPm6Sm2Y3, computed with PBE.

Values from the calculation:
N(E_F): 17.05 states/eV/f.u.
Formation energy: 0.024 eV per atom

Unit cell a=6.342 b=6.342 c=12.099 alpha=95.00 beta=95.00 gamma=120.02
Positions (direct):
Sm 0.333 0.667 0.000
Pm 0.421 0.086 0.255
Pm 0.750 0.750 0.255
Sm 0.667 0.333 0.000
Pm 0.250 0.250 0.745
Pm 0.914 0.579 0.745
Y 0.500 0.500 0.500
Y 0.167 0.833 0.500
Y 0.833 0.167 0.500
Pm 0.086 0.421 0.255
Ac 0.000 0.000 0.000
Pm 0.579 0.914 0.745

***

A relaxed structure of AcPm3Sm2Y6, computed with PBE.

Values from the calculation:
N(E_F): 14.30 states/eV/f.u.
Formation energy: 0.019 eV per atom

Unit cell a=6.309 b=6.309 c=11.945 alpha=95.03 beta=95.03 gamma=119.99
Positions (direct):
Y 0.251 0.251 0.747
Sm 0.333 0.667 0.000
Ac 0.000 0.000 0.000
Pm 0.167 0.833 0.500
Sm 0.667 0.333 0.000
Y 0.915 0.580 0.747
Y 0.749 0.749 0.253
Y 0.085 0.420 0.253
Y 0.580 0.915 0.747
Y 0.420 0.085 0.253
Pm 0.500 0.500 0.500
Pm 0.833 0.167 0.500

***

A relaxed structure of Ac2PmSm2Y, computed with PBE.

Values from the calculation:
N(E_F): 10.09 states/eV/f.u.
Formation energy: 0.079 eV per atom

Unit cell a=5.920 b=7.374 c=10.182 alpha=90.00 beta=90.00 gamma=90.00
Positions (direct):
Sm 0.500 0.258 0.347
Sm 0.000 0.258 0.824
Ac 0.000 0.758 0.825
Ac 0.000 0.258 0.175
Y 0.000 0.007 0.500
Y 0.000 0.507 0.500
Ac 0.500 0.508 0.000
Pm 0.500 0.757 0.336
Sm 0.000 0.758 0.176
Sm 0.500 0.758 0.653
Ac 0.500 0.008 0.000
Pm 0.500 0.257 0.664

***

A relaxed structure of AcPm5SmY2, computed with PBE.

Values from the calculation:
N(E_F): 13.79 states/eV/f.u.
Formation energy: 0.083 eV per atom

Unit cell a=5.861 b=9.304 c=12.193 alpha=90.00 beta=90.00 gamma=108.36
Positions (direct):
Pm 0.232 0.463 0.630
Pm 0.939 0.878 0.572
Ac 0.386 0.773 0.424
Sm 0.749 0.497 0.425
Pm 0.768 0.537 0.130
Pm 0.579 0.157 0.264
Pm 0.420 0.840 0.089
Y 0.111 0.222 0.425
Pm 0.421 0.843 0.764
Y 0.938 0.876 0.276
Pm 0.580 0.160 0.589
Pm 0.232 0.464 0.220
Y 0.889 0.778 0.925
Y 0.062 0.124 0.776
Pm 0.061 0.122 0.072
Pm 0.768 0.536 0.720
Ac 0.614 0.227 0.924
Sm 0.251 0.503 0.925

***

A relaxed structure of Ac2Pm2SmY4, computed with PBE.

Values from the calculation:
N(E_F): 12.44 states/eV/f.u.
Formation energy: 0.032 eV per atom

Unit cell a=3.678 b=9.014 c=10.071 alpha=99.71 beta=90.00 gamma=101.77
Positions (direct):
Y 0.831 0.661 0.776
Sm 0.000 0.000 0.000
Y 0.169 0.339 0.224
Y 0.486 0.971 0.680
Y 0.514 0.029 0.320
Ac 0.840 0.680 0.421
Pm 0.336 0.672 0.079
Pm 0.664 0.328 0.921
Ac 0.160 0.320 0.579

***

A relaxed structure of Ac2PmSmY, computed with PBE.

Values from the calculation:
N(E_F): 6.61 states/eV/f.u.
Formation energy: 0.270 eV per atom

Unit cell a=6.845 b=8.984 c=6.414 alpha=89.99 beta=90.00 gamma=90.00
Positions (direct):
Ac 0.299 0.702 0.250
Ac 0.299 0.298 0.250
Pm 0.582 0.000 0.250
Y 0.832 0.500 0.250
Pm 0.418 0.000 0.750
Sm 0.000 0.000 0.500
Y 0.168 0.500 0.750
Sm 0.000 0.000 0.000
Ac 0.701 0.702 0.750
Ac 0.701 0.298 0.750

***

A relaxed structure of Ac2Pm4Sm2Y, computed with PBE.

Values from the calculation:
N(E_F): 11.87 states/eV/f.u.
Formation energy: 0.035 eV per atom

Unit cell a=3.754 b=9.861 c=10.007 alpha=115.20 beta=90.00 gamma=100.97
Positions (direct):
Pm 0.482 0.964 0.680
Pm 0.817 0.634 0.671
Sm 0.335 0.670 0.996
Pm 0.518 0.036 0.320
Pm 0.183 0.366 0.329
Ac 0.854 0.707 0.333
Ac 0.146 0.293 0.667
Sm 0.665 0.330 0.004
Y 0.000 0.000 0.000

***

A relaxed structure of AcPmSmZn, computed with PBE.

Values from the calculation:
E above lowest polymorph: 0.280 eV per atom
N(E_F): 5.89 states/eV/f.u.
Formation energy: 0.146 eV per atom

Unit cell a=5.606 b=5.606 c=5.606 alpha=60.00 beta=60.00 gamma=60.00
Positions (direct):
Zn 0.500 0.500 0.500
Sm 0.250 0.250 0.250
Ac 0.000 0.000 0.000
Pm 0.750 0.750 0.750

***

A relaxed structure of AcPmSmZn, computed with PBE.

Values from the calculation:
E above lowest polymorph: 0.000 eV per atom
N(E_F): 5.13 states/eV/f.u.
Formation energy: -0.134 eV per atom

Unit cell a=3.736 b=3.736 c=9.005 alpha=90.00 beta=90.00 gamma=90.00
Positions (direct):
Zn 0.000 0.000 0.573
Sm 0.500 0.500 0.766
Ac 0.000 0.000 0.070
Pm 0.500 0.500 0.375

***

A relaxed structure of Ac2PmSn, computed with PBE.

Values from the calculation:
E above lowest polymorph: 0.417 eV per atom
N(E_F): 6.45 states/eV/f.u.
Formation energy: 0.066 eV per atom

Unit cell a=3.734 b=3.734 c=12.817 alpha=81.62 beta=81.62 gamma=60.00
Positions (direct):
Ac 0.094 0.094 0.718
Ac 0.906 0.906 0.282
Sn 0.500 0.500 0.500
Pm 0.000 0.000 0.000

***

A relaxed structure of AcPm4Sn15, computed with PBE.

Values from the calculation:
N(E_F): 10.93 states/eV/f.u.
Formation energy: -0.487 eV per atom

Unit cell a=4.767 b=4.767 c=24.215 alpha=90.00 beta=90.00 gamma=90.00
Positions (direct):
Sn 0.500 0.500 0.000
Pm 0.000 0.000 0.796
Sn 0.500 0.500 0.796
Pm 0.000 0.000 0.204
Sn 0.000 0.500 0.697
Sn 0.000 0.500 0.500
Sn 0.500 0.000 0.105
Sn 0.500 0.500 0.599
Sn 0.000 0.500 0.105
Pm 0.000 0.000 0.401
Sn 0.500 0.500 0.204
Ac 0.000 0.000 0.000
Sn 0.500 0.000 0.500
Sn 0.000 0.500 0.895
Sn 0.500 0.000 0.303
Sn 0.500 0.000 0.895
Pm 0.000 0.000 0.599
Sn 0.000 0.500 0.303
Sn 0.500 0.500 0.401
Sn 0.500 0.000 0.697

***

A relaxed structure of AcPmSn, computed with PBE.

Values from the calculation:
E above lowest polymorph: 0.363 eV per atom
N(E_F): 3.57 states/eV/f.u.
Formation energy: -0.203 eV per atom

Unit cell a=5.799 b=5.799 c=7.263 alpha=90.00 beta=90.00 gamma=90.00
Positions (direct):
Pm 0.000 0.500 0.162
Ac 0.000 0.500 0.708
Ac 0.500 0.000 0.292
Pm 0.500 0.000 0.838
Sn 0.000 0.000 0.000
Sn 0.500 0.500 0.000

***

A relaxed structure of Ac5PmSn3, computed with PBE.

Values from the calculation:
N(E_F): 11.33 states/eV/f.u.
Formation energy: -0.445 eV per atom

Unit cell a=7.203 b=10.187 c=10.185 alpha=120.01 beta=90.00 gamma=90.00
Positions (direct):
Ac 0.500 0.333 0.667
Ac 0.500 0.667 0.333
Sn 0.750 0.333 0.333
Ac 0.000 0.667 0.333
Sn 0.750 0.000 0.667
Sn 0.750 0.667 0.000
Ac 0.750 0.000 0.328
Ac 0.250 0.672 0.000
Sn 0.250 0.000 0.333
Ac 0.750 0.328 0.000
Ac 0.250 0.000 0.672
Ac 0.000 0.333 0.667
Sn 0.250 0.333 0.000
Ac 0.250 0.328 0.328
Ac 0.750 0.672 0.672
Pm 0.500 0.000 0.000
Pm 0.000 0.000 0.000
Sn 0.250 0.667 0.667

***

A relaxed structure of Ac2Pm3Sn4, computed with PBE.

Values from the calculation:
E above lowest polymorph: 0.127 eV per atom
N(E_F): 5.49 states/eV/f.u.
Formation energy: -0.656 eV per atom

Unit cell a=7.328 b=9.218 c=9.653 alpha=90.00 beta=112.31 gamma=90.00
Positions (direct):
Pm 0.500 0.500 0.000
Sn 0.686 0.554 0.373
Sn 0.784 0.250 0.067
Ac 0.390 0.087 0.779
Sn 0.284 0.250 0.067
Sn 0.814 0.054 0.627
Ac 0.110 0.587 0.221
Sn 0.216 0.750 0.933
Pm 0.458 0.250 0.415
Pm 0.000 0.000 0.000
Sn 0.186 0.946 0.373
Ac 0.610 0.913 0.221
Sn 0.314 0.446 0.627
Sn 0.716 0.750 0.933
Pm 0.042 0.750 0.585
Pm 0.542 0.750 0.585
Pm 0.958 0.250 0.415
Ac 0.890 0.413 0.779